Computed, not measured: crystalline HoHIBr at its relaxed geometry at the GGA-PBE level of DFT.

Final energy: -33.0 eV for the cell shown
Crystal system: hexagonal
Theoretical density: 6.09 Mg/m³

a = 3.899 Å, b = 3.899 Å, c = 15.443 Å
α = 90.00°, β = 90.00°, γ = 120.00°
Fractional coordinates of all 8 atoms:
1 Ho 0.000 0.000 0.000
2 Ho 0.000 0.000 0.500
3 H 0.333 0.667 0.497
4 H 0.667 0.333 0.997
5 I 0.333 0.667 0.862
6 I 0.667 0.333 0.362
7 Br 0.333 0.667 0.122
8 Br 0.667 0.333 0.622